8
Lattice="0.000 3.908 3.908 3.908 0.000 3.908 3.908 3.908 0.000" Properties=species:S:1:pos:R:3 comment="PBE CdOs7, relaxed" spacegroup=Fm-3m total_magnetization_mub_per_cell=0.0 energy_ev_per_atom=-9.398 crystal_system=cubic pbc="T T T"
Cd 0.000 0.000 0.000
Os 1.954 1.954 0.000
Os 1.954 0.000 1.954
Os 3.908 1.954 1.954
Os 0.000 1.954 1.954
Os 1.954 3.908 1.954
Os 1.954 1.954 3.908
Os 3.908 3.908 3.908

***

8
Lattice="4.764 0.000 0.000 0.000 5.882 0.000 0.000 0.000 5.354" Properties=species:S:1:pos:R:3 comment="PBE Cd3Os, relaxed" e_above_lowest_polymorph_ev_per_fu=0.589 spacegroup=Pmmn total_magnetization_mub_per_cell=0.0 energy_ev_per_atom=-3.015 crystal_system=orthorhombic pbc="T T T"
Cd 1.191 0.012 0.870
Cd 1.191 2.929 0.870
Cd 1.191 4.411 3.414
Cd 3.573 1.470 1.940
Cd 3.573 2.953 4.484
Cd 3.573 5.870 4.484
Os 1.191 1.470 3.603
Os 3.573 4.411 1.750

***

6
Lattice="-3.211 3.211 2.487 3.211 -3.211 2.487 3.211 3.211 -2.487" Properties=species:S:1:pos:R:3 comment="PBE CdOs2, relaxed" e_above_lowest_polymorph_ev_per_fu=2.729 spacegroup=I4/mcm total_magnetization_mub_per_cell=0.0 energy_ev_per_atom=-6.561 crystal_system=tetragonal pbc="T T T"
Cd 0.000 0.000 1.244
Cd 0.000 0.000 3.731
Os 4.039 0.828 0.000
Os 0.828 2.383 0.000
Os 2.383 0.828 2.487
Os -0.828 2.383 2.487

***

6
Lattice="2.306 -5.673 0.000 2.306 5.673 0.000 0.000 0.000 4.332" Properties=species:S:1:pos:R:3 comment="PBE Cd2Os, relaxed" spacegroup=Cmcm total_magnetization_mub_per_cell=0.0 energy_ev_per_atom=-3.888 crystal_system=orthorhombic pbc="T T T"
Cd 2.306 4.674 3.249
Cd 2.306 2.798 1.083
Cd 2.306 -2.798 3.249
Cd 2.306 -4.674 1.083
Os 2.306 0.591 3.249
Os 2.306 -0.591 1.083

***

9
Lattice="-4.391 4.391 2.050 4.391 -4.391 2.050 4.391 4.391 -2.050" Properties=species:S:1:pos:R:3 comment="PBE Cd5Os4, relaxed" spacegroup=I4/mmm total_magnetization_mub_per_cell=0.0 energy_ev_per_atom=-4.985 crystal_system=tetragonal pbc="T T T"
Cd 0.000 0.000 0.000
Cd 2.895 2.895 0.000
Cd 1.497 -1.497 2.050
Cd -1.497 1.497 2.050
Cd 1.497 1.497 2.050
Os 3.131 0.000 0.000
Os 5.652 0.000 0.000
Os 0.000 3.131 0.000
Os 0.000 5.652 0.000

***

6
Lattice="-1.362 2.104 10.553 1.362 -2.104 10.553 1.362 2.104 -10.553" Properties=species:S:1:pos:R:3 comment="PBE Cd2Os, relaxed" spacegroup=Imma total_magnetization_mub_per_cell=0.0 energy_ev_per_atom=-3.623 crystal_system=orthorhombic pbc="T T T"
Cd 0.000 1.052 0.931
Cd 0.000 1.052 3.925
Cd 1.362 1.052 6.628
Cd 1.362 1.052 9.622
Os 1.362 1.052 -2.318
Os 0.000 1.052 12.871

***

6
Lattice="0.000 3.722 3.722 3.722 0.000 3.722 3.722 3.722 0.000" Properties=species:S:1:pos:R:3 comment="PBE CdOs2, relaxed" e_above_lowest_polymorph_ev_per_fu=1.237 spacegroup=Fd-3m total_magnetization_mub_per_cell=1.5 energy_ev_per_atom=-7.058 crystal_system=cubic pbc="T T T"
Cd 0.931 0.931 0.931
Cd 6.514 6.514 6.514
Os 3.722 1.861 1.861
Os 1.861 3.722 1.861
Os 1.861 1.861 3.722
Os 3.722 3.722 3.722

***

3
Lattice="-1.385 2.196 4.451 1.385 -2.196 4.451 1.385 2.196 -4.451" Properties=species:S:1:pos:R:3 comment="PBE Cd2Os, relaxed" spacegroup=Immm total_magnetization_mub_per_cell=0.0 energy_ev_per_atom=-3.752 crystal_system=orthorhombic pbc="T T T"
Cd 0.000 0.000 1.440
Cd 0.000 0.000 7.461
Os 0.000 0.000 4.451

***

6
Lattice="5.173 -1.397 0.000 5.173 1.397 0.000 -1.784 0.000 6.661" Properties=species:S:1:pos:R:3 comment="PBE CdOs2, relaxed" e_above_lowest_polymorph_ev_per_fu=0.190 spacegroup=C2/m total_magnetization_mub_per_cell=0.0 energy_ev_per_atom=-7.407 crystal_system=monoclinic pbc="T T T"
Cd 1.361 0.000 0.184
Cd 7.201 0.000 6.477
Os 0.862 0.000 4.141
Os 3.675 0.000 4.436
Os 4.887 0.000 2.225
Os 7.700 0.000 2.520

***

6
Lattice="1.406 -7.611 0.000 1.406 7.611 0.000 0.000 0.000 4.509" Properties=species:S:1:pos:R:3 comment="PBE CdOs2, relaxed" e_above_lowest_polymorph_ev_per_fu=0.157 spacegroup=Cmcm total_magnetization_mub_per_cell=0.0 energy_ev_per_atom=-7.418 crystal_system=orthorhombic pbc="T T T"
Cd 1.406 4.317 3.382
Cd 1.406 -4.317 1.127
Os 1.406 6.141 1.127
Os 1.406 0.731 1.127
Os 1.406 -0.731 3.382
Os 1.406 -6.141 3.382

***

8
Lattice="-2.084 2.084 8.542 2.084 -2.084 8.542 2.084 2.084 -8.542" Properties=species:S:1:pos:R:3 comment="PBE Cd3Os, relaxed" e_above_lowest_polymorph_ev_per_fu=0.513 spacegroup=I4/mmm total_magnetization_mub_per_cell=0.0 energy_ev_per_atom=-3.034 crystal_system=tetragonal pbc="T T T"
Cd 2.084 0.000 0.000
Cd 0.000 0.000 2.170
Cd 2.084 0.000 4.271
Cd 0.000 2.084 0.000
Cd 0.000 2.084 4.271
Cd 0.000 0.000 14.915
Os 0.000 0.000 6.513
Os 0.000 0.000 10.571

***

3
Lattice="4.459 0.000 0.000 -2.230 3.862 0.000 0.000 0.000 2.781" Properties=species:S:1:pos:R:3 comment="PBE CdOs2, relaxed" e_above_lowest_polymorph_ev_per_fu=1.839 spacegroup=P-3m1 total_magnetization_mub_per_cell=0.0 energy_ev_per_atom=-6.857 crystal_system=trigonal pbc="T T T"
Cd 0.000 0.000 0.000
Os 0.000 2.575 1.915
Os 2.230 1.287 0.867

***

4
Lattice="-1.489 4.848 2.604 1.489 -4.848 2.604 1.489 4.848 -2.604" Properties=species:S:1:pos:R:3 comment="PBE Cd3Os, relaxed" e_above_lowest_polymorph_ev_per_fu=0.482 spacegroup=Imm2 total_magnetization_mub_per_cell=1.0 energy_ev_per_atom=-3.042 crystal_system=orthorhombic pbc="T T T"
Cd 0.000 0.000 0.000
Cd 1.489 2.539 0.814
Cd 0.000 2.309 3.418
Os 1.489 0.000 2.488

***

4
Lattice="2.863 0.000 0.000 0.000 4.926 0.000 0.000 0.000 5.293" Properties=species:S:1:pos:R:3 comment="PBE Cd3Os, relaxed" e_above_lowest_polymorph_ev_per_fu=0.535 spacegroup=Pmm2 total_magnetization_mub_per_cell=0.0 energy_ev_per_atom=-3.029 crystal_system=orthorhombic pbc="T T T"
Cd 0.000 0.000 0.000
Cd 0.000 2.463 1.743
Cd 1.431 0.000 2.750
Os 1.431 2.463 4.389

***

6
Lattice="0.000 3.921 3.921 3.921 0.000 3.921 3.921 3.921 0.000" Properties=species:S:1:pos:R:3 comment="PBE Cd5Os, relaxed" e_above_lowest_polymorph_ev_per_fu=1.910 spacegroup=F-43m total_magnetization_mub_per_cell=0.0 energy_ev_per_atom=-2.002 crystal_system=cubic pbc="T T T"
Cd 0.000 0.000 0.000
Cd 2.945 2.945 2.945
Cd 4.896 4.896 2.945
Cd 4.896 2.945 4.896
Cd 2.945 4.896 4.896
Os 5.881 5.881 5.881

***

8
Lattice="0.000 4.303 4.303 4.303 0.000 4.303 4.303 4.303 0.000" Properties=species:S:1:pos:R:3 comment="PBE Cd7Os, relaxed" spacegroup=Fm-3m total_magnetization_mub_per_cell=0.4 energy_ev_per_atom=-1.951 crystal_system=cubic pbc="T T T"
Cd 0.000 0.000 0.000
Cd 2.151 2.151 0.000
Cd 2.151 0.000 2.151
Cd 4.303 2.151 2.151
Cd 0.000 2.151 2.151
Cd 2.151 4.303 2.151
Cd 2.151 2.151 4.303
Os 4.303 4.303 4.303

***

4
Lattice="4.194 0.000 0.000 0.000 4.194 0.000 0.000 0.000 4.194" Properties=species:S:1:pos:R:3 comment="PBE Cd3Os, relaxed" e_above_lowest_polymorph_ev_per_fu=0.536 spacegroup=Pm-3m total_magnetization_mub_per_cell=0.0 energy_ev_per_atom=-3.028 crystal_system=cubic pbc="T T T"
Cd 0.000 0.000 2.097
Cd 0.000 2.097 0.000
Cd 2.097 0.000 0.000
Os 2.097 2.097 2.097

***

6
Lattice="5.450 0.000 0.000 -2.725 4.720 0.000 0.000 0.000 5.009" Properties=species:S:1:pos:R:3 comment="PBE Cd5Os, relaxed" e_above_lowest_polymorph_ev_per_fu=2.879 spacegroup=P6/mmm total_magnetization_mub_per_cell=1.2 energy_ev_per_atom=-1.841 crystal_system=hexagonal pbc="T T T"
Cd -1.362 2.360 0.000
Cd 0.000 3.147 2.505
Cd 2.725 0.000 0.000
Cd 1.362 2.360 0.000
Cd 2.725 1.573 2.505
Os 0.000 0.000 2.505

***

16
Lattice="4.699 0.000 0.000 0.000 8.058 0.000 0.000 0.000 8.324" Properties=species:S:1:pos:R:3 comment="PBE Cd3Os, relaxed" e_above_lowest_polymorph_ev_per_fu=0.000 spacegroup=Pnma total_magnetization_mub_per_cell=0.0 energy_ev_per_atom=-3.162 crystal_system=orthorhombic pbc="T T T"
Cd 0.637 2.015 0.210
Cd 0.698 0.494 2.968
Cd 0.698 3.535 2.968
Cd 1.652 4.523 7.130
Cd 1.652 7.564 7.130
Cd 1.713 6.044 4.372
Cd 2.987 2.015 3.951
Cd 3.048 0.494 1.193
Cd 3.048 3.535 1.193
Cd 4.001 4.523 5.355
Cd 4.001 7.564 5.355
Cd 4.062 6.044 8.113
Os 0.667 2.015 5.734
Os 1.683 6.044 1.572
Os 3.017 2.015 6.752
Os 4.032 6.044 2.590

***

12
Lattice="5.262 0.000 0.000 -2.631 4.557 0.000 0.000 0.000 8.498" Properties=species:S:1:pos:R:3 comment="PBE CdOs2, relaxed" e_above_lowest_polymorph_ev_per_fu=0.751 spacegroup=P6_3/mmc total_magnetization_mub_per_cell=0.0 energy_ev_per_atom=-7.220 crystal_system=hexagonal pbc="T T T"
Cd 0.000 3.038 0.573
Cd 0.000 3.038 3.676
Cd 2.631 1.519 4.822
Cd 2.631 1.519 7.926
Os 0.000 0.000 0.000
Os 0.000 0.000 4.249
Os 0.000 1.590 6.374
Os -1.254 3.762 6.374
Os 1.377 0.795 2.125
Os 1.254 3.762 6.374
Os 3.885 0.795 2.125
Os 2.631 2.967 2.125

***

Let's list calculated density in order: 20.09, 11.68, 15.96, 12.16, 13.89, 11.40, 15.87, 12.72, 17.01, 16.96, 11.81, 17.09, 11.65, 11.73, 10.36, 10.18, 11.87, 9.70, 11.12, 16.06 Mg/m³.
Let's list energy of formation in order: 0.54, 0.48, 1.23, 0.46, 0.51, 0.73, 0.73, 0.60, 0.38, 0.37, 0.46, 0.93, 0.45, 0.46, 0.63, 0.25, 0.47, 0.79, 0.33, 0.57 eV/atom.